[1]
The following is a DFT calculation (PBE) of an optimized crystal structure of BaEr4Ag5. Values from VASP.

SG ... No. 123
Calculated volume ... 25.20 A^3/atom
Formation enthalpy at 0 K ... -0.286 eV per atom

The structure in Quantum ESPRESSO input format:
```
&SYSTEM
  ibrav = 0, nat = 10, ntyp = 3
/
ATOMIC_SPECIES
Ag 107.87 Ag.upf
Ba 137.33 Ba.upf
Er 167.26 Er.upf
ATOMIC_POSITIONS crystal
Ag 0.5000 0.5000 0.6904
Ag 0.5000 0.5000 0.8702
Ag 0.5000 0.5000 0.3096
Ag 0.5000 0.5000 0.1298
Ag 0.5000 0.5000 0.5000
Ba 0.0000 0.0000 0.0000
Er 0.0000 0.0000 0.2138
Er 0.0000 0.0000 0.7862
Er 0.0000 0.0000 0.4053
Er 0.0000 0.0000 0.5947
CELL_PARAMETERS angstrom
3.6638 0.0000 0.0000
0.0000 3.6638 0.0000
0.0000 0.0000 18.7754
```

=====

[2]
The following is a DFT calculation (PBE) of an optimized crystal structure of HfTlV2. Values from VASP.

SG ... No. 122
Calculated volume ... 19.45 A^3/atom
Formation enthalpy at 0 K ... 0.882 eV per atom
Energy above the most stable polymorph in this dataset ... 472 meV per atom

The structure in Quantum ESPRESSO input format:
```
&SYSTEM
  ibrav = 0, nat = 8, ntyp = 3
/
ATOMIC_SPECIES
V 50.94 V.upf
Tl 204.38 Tl.upf
Hf 178.49 Hf.upf
ATOMIC_POSITIONS crystal
V 0.1240 0.6250 0.2500
V 0.8750 0.8760 0.7500
V 0.3750 0.3740 0.7500
V 0.6260 0.1250 0.2500
Tl 0.0000 0.0000 0.0000
Tl 0.7500 0.2500 0.5000
Hf 0.2500 0.7500 0.5000
Hf 0.5000 0.5000 0.0000
CELL_PARAMETERS angstrom
7.4252 0.0000 0.0000
0.0000 7.4252 0.0000
3.7126 3.7126 2.8217
```

=====

[3]
The following is a DFT calculation (PBE) of an optimized crystal structure of TlNiRh2. Values from VASP.

SG ... No. 123
Calculated volume ... 15.55 A^3/atom
Formation enthalpy at 0 K ... 0.177 eV per atom

The structure in Quantum ESPRESSO input format:
```
&SYSTEM
  ibrav = 0, nat = 4, ntyp = 3
/
ATOMIC_SPECIES
Ni 58.69 Ni.upf
Rh 102.91 Rh.upf
Tl 204.38 Tl.upf
ATOMIC_POSITIONS crystal
Ni 0.5000 0.5000 0.7500
Rh 0.0000 0.0000 0.5332
Rh 0.0000 0.0000 0.9668
Tl 0.5000 0.5000 0.2500
CELL_PARAMETERS angstrom
3.1422 0.0000 0.0000
0.0000 3.1424 0.0000
0.0000 0.0000 6.2988
```

=====

- Which of these has the highest formation enthalpy at 0 K?
  HfTlV2

=====

- Look up the formation enthalpy at 0 K of the third one.
  0.177 eV per atom

=====

- calculated volume of number 2 (HfTlV2)?
  19.45 A^3/atom